No. 1
Compound: Np3UNb2P6
Source: the Alexandria database
Functional: PBE-GGA
Structure: relaxed

**D(E_F)**: 2.00 states/eV per atom
**Calculated formation energy**: -0.8913 eV per atom

Lattice parameters (Å, degrees): 6.5441 11.5441 6.5871 90.00 109.94 90.00
Space group C2/m (No. 12)
Symmetry-distinct sites (fractional):
1 Np 0.0000 0.0000 0.0000 [2 per cell]
2 Np 0.0000 0.3383 0.0000 [4 per cell]
3 U 0.0000 0.5000 0.5000 [2 per cell]
4 Nb 0.0000 0.1743 0.5000 [4 per cell]
5 P 0.2272 0.0000 0.7245 [4 per cell]
6 P 0.2465 0.1716 0.2611 [8 per cell]



No. 2
Compound: Np3U2NbP6
Source: the Alexandria database
Functional: PBE-GGA
Structure: relaxed

**D(E_F)**: 2.82 states/eV per atom
**Calculated formation energy**: -0.8792 eV per atom

Lattice parameters (Å, degrees): 6.7363 11.5454 6.6882 90.00 109.37 90.00
Space group C2/m (No. 12)
Symmetry-distinct sites (fractional):
1 Np 0.0000 0.0000 0.0000 [2 per cell]
2 Np 0.0000 0.3296 0.0000 [4 per cell]
3 U 0.0000 0.1643 0.5000 [4 per cell]
4 Nb 0.0000 0.5000 0.5000 [2 per cell]
5 P 0.2388 0.3386 0.7379 [8 per cell]
6 P 0.2389 0.5000 0.2557 [4 per cell]